{"formula": "AcPr2SeO8", "functional": "PBE", "state": "optimized geometry", "crystal_system": "triclinic", "raw_formation_energy_ev_per_atom": -2.2699, "lattice_angstrom": [[-0.2531, 0.2923, 5.1822], [2.9144, -3.6268, 0.3537], [6.5395, 2.4510, 0.1868]], "species": ["O", "Pr", "O", "Ac", "Se", "O", "Pr", "O", "O", "O", "O", "O"], "fractional_positions": [[0.0000, 0.3337, 0.7558], [0.5003, 0.6423, 0.2036], [0.0000, 0.6663, 0.2442], [0.0000, 0.0000, 0.5000], [0.0000, 0.0000, 0.0000], [0.2497, 0.8424, 0.8814], [0.4997, 0.3577, 0.7964], [0.4999, 0.7676, 0.5012], [0.5001, 0.2324, 0.4988], [0.7509, 0.8430, 0.8814], [0.2491, 0.1570, 0.1186], [0.7503, 0.1576, 0.1186]]}



{"formula": "Ba2CuRhCl", "functional": "PBE", "state": "optimized geometry", "crystal_system": "tetragonal", "raw_formation_energy_ev_per_atom": -0.1305, "relative_energy_ev_per_atom": 0.475, "lattice_angstrom": [[-2.7768, -2.1486, -4.7725], [1.9489, -3.9289, 0.6349], [-4.5391, -1.7011, 3.4068]], "species": ["Rh", "Cl", "Ba", "Cu", "Ba"], "fractional_positions": [[0.5000, 0.5000, 0.5000], [0.0000, 0.0000, 0.0000], [0.5000, 0.0000, 0.0000], [0.0000, 0.5000, 0.0000], [0.0000, 0.0000, 0.5000]]}



{"formula": "Na3VSe", "functional": "PBE", "state": "optimized geometry", "crystal_system": "cubic", "raw_formation_energy_ev_per_atom": 0.2579, "relative_energy_ev_per_atom": 0.000, "lattice_angstrom": [[5.5449, 0.0000, 0.0000], [0.0000, 5.5449, 0.0000], [0.0000, 0.0000, 5.5449]], "species": ["Na", "Na", "V", "Na", "Se"], "fractional_positions": [[0.5000, 0.0000, 0.0000], [0.0000, 0.5000, 0.0000], [0.5000, 0.5000, 0.5000], [0.0000, 0.0000, 0.5000], [0.0000, 0.0000, 0.0000]]}



{"formula": "CeHoGa2", "functional": "PBE", "state": "optimized geometry", "crystal_system": "tetragonal", "formation_energy_kj_per_mol_fu": -206, "lattice_angstrom": [[-2.5177, -0.3790, 2.2386], [-1.0590, -2.7608, -1.6584], [4.7162, -4.5341, 4.5364]], "species": ["Ho", "Ga", "Ce", "Ga"], "fractional_positions": [[0.5000, 0.5000, 0.0000], [0.0000, 0.0000, 0.7580], [0.5000, 0.5000, 0.5000], [0.0000, 0.0000, 0.2420]]}



{"formula": "BaZr2Cl", "functional": "PBE", "state": "optimized geometry", "crystal_system": "monoclinic", "raw_formation_energy_ev_per_atom": -0.1091, "relative_energy_ev_per_atom": 0.201, "lattice_angstrom": [[-0.7110, 5.4565, 1.0054], [-3.7296, 4.1247, 0.6056], [-0.9739, 0.1820, 6.7467]], "species": ["Zr", "Cl", "Ba", "Zr"], "fractional_positions": [[0.7087, 0.7087, 0.8913], [0.2949, 0.2949, 0.2015], [0.5224, 0.5224, 0.4588], [0.9740, 0.9740, 0.9484]]}



{"formula": "YTa2Zn", "functional": "PBE", "state": "optimized geometry", "crystal_system": "tetragonal", "formation_energy_kj_per_mol_fu": 35, "lattice_angstrom": [[-1.6597, -2.4970, 1.7766], [-0.5700, -1.7337, -2.9691], [5.8346, -3.3029, 0.8085]], "species": ["Y", "Zn", "Ta", "Ta"], "fractional_positions": [[0.0000, 0.0000, 0.5015], [0.5000, 0.5000, 0.7862], [0.5000, 0.5000, 0.2020], [0.0000, 0.0000, 0.0103]]}



{"formula": "Th2Al9Pd3", "functional": "PBE", "state": "optimized geometry", "crystal_system": "monoclinic", "formation_energy_kj_per_mol_fu": -815, "lattice_angstrom": [[-7.3358, 1.9185, 1.5234], [1.7370, -3.8682, -6.4680], [3.0131, -8.5048, 5.9682]], "species": ["Pd", "Pd", "Al", "Th", "Al", "Al", "Pd", "Al", "Al", "Al", "Al", "Al", "Al", "Al", "Pd", "Al", "Al", "Pd", "Th", "Th", "Th", "Al", "Pd", "Al", "Al", "Al", "Al", "Al"], "fractional_positions": [[0.8342, 0.1674, 0.4979], [0.8305, 0.6637, 0.9979], [0.1283, 0.9826, 0.9440], [0.0006, 0.4165, 0.2500], [0.8735, 0.8560, 0.5658], [0.2144, 0.5242, 0.5663], [0.5000, 0.5000, 0.5000], [0.8717, 0.0174, 0.0560], [0.5421, 0.3519, 0.0663], [0.4628, 0.9175, 0.7489], [0.1265, 0.1440, 0.4342], [0.7856, 0.4758, 0.4337], [0.4614, 0.8157, 0.4440], [0.8730, 0.1230, 0.7500], [0.1658, 0.8326, 0.5021], [0.6687, 0.7140, 0.7511], [0.4579, 0.6481, 0.9337], [0.5000, 0.0000, 0.0000], [0.6665, 0.7506, 0.2500], [0.3335, 0.2494, 0.7500], [0.9994, 0.5835, 0.7500], [0.5372, 0.0825, 0.2511], [0.1695, 0.3363, 0.0021], [0.1270, 0.8770, 0.2500], [0.5386, 0.1843, 0.5560], [0.3313, 0.2860, 0.2489], [0.2098, 0.6923, 0.0658], [0.7902, 0.3077, 0.9342]]}



{"formula": "CaZrIrAu", "functional": "PBE", "state": "optimized geometry", "crystal_system": "cubic", "formation_energy_kj_per_mol_fu": -191, "lattice_angstrom": [[-1.7469, 3.7786, -2.4709], [-2.8286, -0.7308, -3.8600], [-4.7175, 1.0639, 0.2200]], "species": ["Ca", "Au", "Ir", "Zr"], "fractional_positions": [[0.7500, 0.7500, 0.7500], [0.5000, 0.5000, 0.5000], [0.0000, 0.0000, 0.0000], [0.2500, 0.2500, 0.2500]]}



{"formula": "CaZn2Cu", "functional": "PBE", "state": "optimized geometry", "crystal_system": "orthorhombic", "formation_energy_kj_per_mol_fu": -30, "lattice_angstrom": [[-4.6717, 0.3469, 0.5973], [-0.2428, -4.6865, 0.5284], [2.6688, 2.7834, 2.7261]], "species": ["Cu", "Zn", "Ca", "Zn"], "fractional_positions": [[0.7902, 0.2902, 0.5000], [0.9915, 0.9915, 0.0000], [0.5014, 0.5014, 0.0000], [0.2170, 0.7170, 0.5000]]}



{"formula": "LaCoBr2", "functional": "PBE", "state": "optimized geometry", "crystal_system": "trigonal", "raw_formation_energy_ev_per_atom": -0.4241, "relative_energy_ev_per_atom": 0.483, "lattice_angstrom": [[-4.4380, 4.9570, 4.3045], [-6.0407, 5.0561, 0.8608], [-6.8693, 2.2298, 3.2613]], "species": ["Co", "Br", "Br", "La"], "fractional_positions": [[0.2500, 0.2500, 0.2500], [0.9791, 0.9791, 0.9791], [0.5209, 0.5209, 0.5209], [0.7500, 0.7500, 0.7500]]}



{"formula": "SrBi2S", "functional": "PBE", "state": "optimized geometry", "crystal_system": "tetragonal", "raw_formation_energy_ev_per_atom": -0.3968, "lattice_angstrom": [[9.8381, 0.0000, 0.0000], [0.0000, 9.8381, 0.0000], [4.9190, 4.9190, 2.8509]], "species": ["Bi", "S", "Bi", "Sr", "Bi", "S", "Sr", "Bi"], "fractional_positions": [[0.8750, 0.7971, 0.7500], [0.2500, 0.7500, 0.5000], [0.5471, 0.1250, 0.2500], [0.7500, 0.2500, 0.5000], [0.2029, 0.6250, 0.2500], [0.5000, 0.5000, 0.0000], [0.0000, 0.0000, 0.0000], [0.3750, 0.4529, 0.7500]]}



{"formula": "K2NaYF6", "functional": "PBE", "state": "optimized geometry", "crystal_system": "cubic", "raw_formation_energy_ev_per_atom": -3.3088, "relative_energy_ev_per_atom": 0.023, "lattice_angstrom": [[-5.0631, -0.5993, -3.6848], [-4.6285, -3.9360, 1.6302], [-5.5506, 2.2814, 1.8862]], "species": ["F", "K", "Y", "F", "F", "F", "K", "Na", "F", "F"], "fractional_positions": [[0.2448, 0.2448, 0.7552], [0.7500, 0.7500, 0.7500], [0.0000, 0.0000, 0.0000], [0.2448, 0.7552, 0.7552], [0.7552, 0.7552, 0.2448], [0.2448, 0.7552, 0.2448], [0.2500, 0.2500, 0.2500], [0.5000, 0.5000, 0.5000], [0.7552, 0.2448, 0.7552], [0.7552, 0.2448, 0.2448]]}



{"formula": "CaMgBIr2", "functional": "PBE", "state": "optimized geometry", "crystal_system": "tetragonal", "formation_energy_kj_per_mol_fu": 874, "relative_energy_ev_per_atom": 2.169, "lattice_angstrom": [[-3.5812, -2.5096, 1.3676], [2.5411, -4.2758, -1.1923], [1.7283, -0.1554, 4.2406]], "species": ["Ca", "Ir", "Ir", "Mg", "B"], "fractional_positions": [[0.0000, 0.5000, 0.0000], [0.0000, 0.0000, 0.5000], [0.5000, 0.0000, 0.0000], [0.0000, 0.0000, 0.0000], [0.5000, 0.5000, 0.5000]]}



{"formula": "InOsCl2", "functional": "PBE", "state": "optimized geometry", "crystal_system": "cubic", "raw_formation_energy_ev_per_atom": 0.9423, "relative_energy_ev_per_atom": 0.930, "lattice_angstrom": [[-0.9963, -4.4419, 1.7364], [1.6243, -1.3160, 4.4009], [-3.1313, -0.5250, 3.6956]], "species": ["Cl", "Cl", "In", "Os"], "fractional_positions": [[0.2500, 0.2500, 0.2500], [0.0000, 0.0000, 0.0000], [0.5000, 0.5000, 0.5000], [0.7500, 0.7500, 0.7500]]}



{"formula": "Mn3OsSe", "functional": "PBE", "state": "optimized geometry", "crystal_system": "cubic", "raw_formation_energy_ev_per_atom": 1.0871, "lattice_angstrom": [[4.7398, 0.0000, 0.0000], [0.0000, 4.7398, 0.0000], [0.0000, 0.0000, 4.7398]], "species": ["Mn", "Mn", "Mn", "Os", "Se"], "fractional_positions": [[0.0000, 0.0000, 0.5000], [0.0000, 0.5000, 0.0000], [0.5000, 0.0000, 0.0000], [0.0000, 0.0000, 0.0000], [0.5000, 0.5000, 0.5000]]}



{"formula": "YHfCuAu", "functional": "PBE", "state": "optimized geometry", "crystal_system": "cubic", "formation_energy_kj_per_mol_fu": -120, "lattice_angstrom": [[4.8683, 0.0000, 0.0000], [2.4341, 4.2160, 0.0000], [2.4341, 1.4053, 3.9749]], "species": ["Hf", "Y", "Au", "Cu"], "fractional_positions": [[0.2500, 0.2500, 0.2500], [0.7500, 0.7500, 0.7500], [0.0000, 0.0000, 0.0000], [0.5000, 0.5000, 0.5000]]}



{"formula": "BiSb2Pd2", "functional": "PBE", "state": "optimized geometry", "crystal_system": "tetragonal", "raw_formation_energy_ev_per_atom": -0.0998, "relative_energy_ev_per_atom": 0.095, "lattice_angstrom": [[4.3882, 0.0000, 0.0000], [0.0000, 4.3882, 0.0000], [2.1941, 2.1941, 6.1111]], "species": ["Pd", "Pd", "Bi", "Sb", "Sb"], "fractional_positions": [[0.6113, 0.6113, 0.7774], [0.3887, 0.3887, 0.2226], [0.0000, 0.0000, 0.0000], [0.2500, 0.7500, 0.5000], [0.7500, 0.2500, 0.5000]]}



{"formula": "Dy2BeB10", "functional": "PBE", "state": "optimized geometry", "crystal_system": "orthorhombic", "formation_energy_kj_per_mol_fu": -574, "lattice_angstrom": [[4.1192, 0.0000, 0.0000], [0.0000, 5.5386, 0.0000], [0.0000, 0.0000, 10.9260]], "species": ["B", "Be", "B", "B", "B", "B", "B", "B", "B", "B", "B", "B", "B", "Dy", "B", "B", "B", "Dy", "B", "B", "B", "Dy", "B", "Dy", "B", "Be"], "fractional_positions": [[0.2999, 0.3047, 0.6111], [0.0000, 0.0000, 0.0000], [0.2999, 0.8047, 0.8889], [0.2999, 0.6953, 0.3889], [0.7001, 0.1953, 0.1111], [0.0000, 0.5231, 0.3151], [0.0000, 0.3338, 0.1980], [0.0000, 0.6280, 0.9603], [0.7001, 0.6953, 0.3889], [0.0000, 0.8338, 0.3020], [0.2999, 0.1953, 0.1111], [0.0000, 0.0231, 0.1849], [0.0000, 0.1662, 0.6980], [0.5000, 0.8063, 0.6341], [0.0000, 0.8720, 0.4603], [0.0000, 0.1280, 0.5397], [0.7001, 0.3047, 0.6111], [0.5000, 0.6937, 0.1341], [0.0000, 0.9769, 0.8151], [0.0000, 0.6662, 0.8020], [0.0000, 0.4769, 0.6849], [0.5000, 0.1937, 0.3659], [0.7001, 0.8047, 0.8889], [0.5000, 0.3063, 0.8659], [0.0000, 0.3720, 0.0397], [0.0000, 0.5000, 0.5000]]}



{"formula": "CoTc2Ni2", "functional": "PBE", "state": "optimized geometry", "crystal_system": "tetragonal", "formation_energy_kj_per_mol_fu": 238, "relative_energy_ev_per_atom": 0.174, "lattice_angstrom": [[-1.9115, 0.4254, 2.5216], [-1.6608, -2.6003, -0.8203], [2.1741, -4.7595, 4.4722]], "species": ["Ni", "Co", "Tc", "Ni", "Tc"], "fractional_positions": [[0.2500, 0.7500, 0.5000], [0.0000, 0.0000, 0.0000], [0.4024, 0.4024, 0.1953], [0.7500, 0.2500, 0.5000], [0.5976, 0.5976, 0.8047]]}



{"formula": "LuBeFe", "functional": "PBE", "state": "optimized geometry", "crystal_system": "hexagonal", "formation_energy_kj_per_mol_fu": 4, "lattice_angstrom": [[-2.4213, 2.1298, -1.6374], [-1.6902, -3.0751, -1.5005], [-1.1258, 1.3303, 3.3952]], "species": ["Be", "Lu", "Fe"], "fractional_positions": [[0.1667, 0.0000, 0.0000], [0.6667, 0.3333, 0.6667], [0.1666, 0.6667, 0.3333]]}